{
  "formula": "YZr2",
  "functional": "PBE",
  "state": "relaxed",
  "cell": [[-5.168, -5.353, -3.659], [-2.909, -6.508, 4.235], [-7.978, -0.255, 2.246]],
  "species": ["Zr", "Zr", "Zr", "Y", "Y", "Zr"],
  "frac_coords": [[0.375, 0.375, 0.875], [0.375, 0.875, 0.375], [0.875, 0.375, 0.375], [0.500, 0.500, 0.500], [0.250, 0.250, 0.250], [0.375, 0.375, 0.375]],
  "delta_e_f_ev_per_atom": 3.3727,
  "total_energy_ry_per_atom": -0.3293
}

{
  "formula": "YZr",
  "functional": "PBE",
  "state": "relaxed",
  "cell": [[-1.509, -1.389, 5.520], [9.868, 1.311, 3.027], [-0.999, 5.153, 1.023]],
  "species": ["Zr", "Zr", "Y", "Y", "Zr", "Y", "Y", "Y", "Zr", "Zr", "Zr", "Y"],
  "frac_coords": [[0.519, 0.815, 0.000], [0.825, 0.824, 0.500], [0.823, 0.500, 0.500], [0.352, 0.991, 0.500], [0.492, 0.497, 0.000], [0.853, 0.176, 0.500], [0.322, 0.667, 0.500], [0.989, 0.984, 0.000], [0.326, 0.343, 0.500], [0.990, 0.670, 0.000], [0.020, 0.351, 0.000], [0.489, 0.183, 0.000]],
  "delta_e_f_ev_per_atom": 0.0723,
  "total_energy_ry_per_atom": -0.5464
}

{
  "formula": "YZr",
  "functional": "PBE",
  "state": "relaxed",
  "cell": [[5.772, 0.000, 0.000], [0.000, 7.156, 0.000], [0.000, 0.000, 5.335]],
  "species": ["Zr", "Y", "Y", "Y", "Zr", "Y", "Zr", "Zr"],
  "frac_coords": [[0.008, 0.026, 0.000], [0.475, 0.772, 0.000], [0.358, 0.478, 0.500], [0.975, 0.478, 0.000], [0.325, 0.026, 0.500], [0.858, 0.772, 0.500], [0.825, 0.224, 0.500], [0.508, 0.224, 0.000]],
  "delta_e_f_ev_per_atom": 0.0455,
  "total_energy_ry_per_atom": -0.5483
}

{
  "formula": "ZrZn3",
  "functional": "PBE",
  "state": "relaxed",
  "cell": [[-2.034, 5.264, 1.562], [-3.591, -3.913, -2.467], [-1.014, -1.567, 3.961]],
  "species": ["Zn", "Zn", "Zr", "Zn", "Zn", "Zr", "Zn", "Zn"],
  "frac_coords": [[0.351, 0.175, 0.500], [0.825, 0.175, 0.500], [0.333, 0.667, 0.500], [0.509, 0.017, 0.000], [0.825, 0.649, 0.500], [0.000, 0.000, 0.000], [0.983, 0.491, 0.000], [0.509, 0.491, 0.000]],
  "delta_e_f_ev_per_atom": -0.2829,
  "total_energy_ry_per_atom": -0.2476
}

{
  "formula": "ZrZn3",
  "functional": "PBE",
  "state": "relaxed",
  "cell": [[5.559, 0.000, 0.000], [0.000, 5.619, 0.000], [0.000, 0.000, 4.175]],
  "species": ["Zr", "Zn", "Zr", "Zn", "Zn", "Zn", "Zn", "Zn"],
  "frac_coords": [[0.272, 0.500, 0.500], [0.409, 0.000, 0.500], [0.062, 0.000, 0.000], [0.808, 0.750, 0.500], [0.525, 0.250, 0.000], [0.808, 0.250, 0.500], [0.525, 0.750, 0.000], [0.924, 0.500, 0.000]],
  "delta_e_f_ev_per_atom": -0.2491,
  "total_energy_ry_per_atom": -0.2451
}

{
  "formula": "Zr5Zn39",
  "functional": "PBE",
  "state": "relaxed",
  "cell": [[0.253, 9.865, -0.203], [-5.456, 6.193, -5.414], [-3.559, -7.589, 9.249]],
  "species": ["Zn", "Zr", "Zn", "Zn", "Zn", "Zn", "Zn", "Zr", "Zn", "Zn", "Zn", "Zn", "Zn", "Zn", "Zn", "Zn", "Zn", "Zn", "Zn", "Zr", "Zn", "Zn", "Zn", "Zn", "Zn", "Zn", "Zn", "Zn", "Zn", "Zn", "Zn", "Zn", "Zn", "Zn", "Zn", "Zn", "Zn", "Zn", "Zr", "Zn", "Zn", "Zn", "Zn", "Zr"],
  "frac_coords": [[0.000, 0.500, 0.000], [0.573, 0.573, 0.791], [0.785, 0.785, 0.908], [0.371, 0.061, 0.271], [0.639, 0.106, 0.297], [0.466, 0.779, 0.049], [0.061, 0.371, 0.271], [0.772, 0.772, 0.348], [0.404, 0.404, 0.421], [0.163, 0.687, 0.557], [0.121, 0.121, 0.340], [0.894, 0.361, 0.703], [0.313, 0.837, 0.443], [0.106, 0.639, 0.297], [0.904, 0.211, 0.838], [0.780, 0.780, 0.123], [0.779, 0.466, 0.049], [0.361, 0.894, 0.703], [0.629, 0.939, 0.729], [0.427, 0.427, 0.209], [0.215, 0.215, 0.092], [0.939, 0.629, 0.729], [0.000, 0.500, 0.500], [0.534, 0.221, 0.951], [0.879, 0.879, 0.660], [0.500, 0.000, 0.000], [0.211, 0.904, 0.838], [0.732, 0.412, 0.199], [0.268, 0.588, 0.801], [0.220, 0.220, 0.877], [0.588, 0.268, 0.801], [0.412, 0.732, 0.199], [0.000, 0.000, 0.500], [0.655, 0.655, 0.440], [0.096, 0.789, 0.162], [0.345, 0.345, 0.560], [0.837, 0.313, 0.443], [0.687, 0.163, 0.557], [0.000, 0.000, 0.000], [0.221, 0.534, 0.951], [0.789, 0.096, 0.162], [0.500, 0.000, 0.500], [0.596, 0.596, 0.579], [0.228, 0.228, 0.652]],
  "delta_e_f_ev_per_atom": -0.1696,
  "total_energy_ry_per_atom": -0.1662
}